1.
An optimized crystal structure of MgPa2FeN5. Source: the Alexandria database, functional PBE-GGA.

CIF file:
```
data_MgPa2FeN5
_chemical_formula_sum 'Mg4 Pa8 Fe4 N20'
_cell_length_a 6.584
_cell_length_b 6.584
_cell_length_c 10.755
_cell_angle_alpha 90.00
_cell_angle_beta 90.00
_cell_angle_gamma 90.00
_symmetry_space_group_name_H-M 'I 4/m c m'
_symmetry_Int_Tables_number 140
_symmetry_space_group_name_Hall '-I 4 2c'
loop_
_atom_site_label
_atom_site_type_symbol
_atom_site_fract_x
_atom_site_fract_y
_atom_site_fract_z
Mg1 Mg 0.000 0.000 0.250
Pa1 Pa 0.180 0.320 0.000
Fe1 Fe 0.000 0.500 0.250
N1 N 0.000 0.000 0.000
N2 N 0.141 0.359 0.364
```

Output
The calculation puts the mass density at 8.7 g/cm³. The formation energy from raw total energies comes out at -841 meV per atom. The density of states at the Fermi level is 5.0 states/eV/f.u.

=====

2.
An optimized crystal structure of PuMgFeN3. Source: the Alexandria database, functional PBE-GGA.

CIF file:
```
data_PuMgFeN3
_chemical_formula_sum 'Pu2 Mg2 Fe2 N6'
_cell_length_a 6.342
_cell_length_b 3.273
_cell_length_c 7.931
_cell_angle_alpha 90.00
_cell_angle_beta 94.65
_cell_angle_gamma 90.00
_symmetry_space_group_name_H-M 'P 1 21/m 1'
_symmetry_Int_Tables_number 11
_symmetry_space_group_name_Hall '-P 2yb'
loop_
_atom_site_label
_atom_site_type_symbol
_atom_site_fract_x
_atom_site_fract_y
_atom_site_fract_z
Pu1 Pu 0.138 0.250 0.173
Mg1 Mg 0.357 0.750 0.874
Fe1 Fe 0.453 0.750 0.394
N1 N 0.108 0.250 0.880
N2 N 0.329 0.250 0.440
N3 N 0.397 0.750 0.153
```

Output
The calculation puts the mass density at 7.4 g/cm³. The formation energy from raw total energies comes out at -625 meV per atom. The density of states at the Fermi level is 7.2 states/eV/f.u.

=====

3.
An optimized crystal structure of MgFe2RhN. Source: the Alexandria database, functional PBE-GGA.

CIF file:
```
data_MgFe2RhN
_chemical_formula_sum 'Mg1 Fe2 Rh1 N1'
_cell_length_a 3.790
_cell_length_b 3.790
_cell_length_c 4.234
_cell_angle_alpha 90.00
_cell_angle_beta 90.00
_cell_angle_gamma 90.00
_symmetry_space_group_name_H-M 'P 4/m m m'
_symmetry_Int_Tables_number 123
_symmetry_space_group_name_Hall '-P 4 2'
loop_
_atom_site_label
_atom_site_type_symbol
_atom_site_fract_x
_atom_site_fract_y
_atom_site_fract_z
Mg1 Mg 0.000 0.000 0.000
Fe1 Fe 0.000 0.500 0.500
Rh1 Rh 0.500 0.500 0.000
N1 N 0.500 0.500 0.500
```

Output
The calculation puts the mass density at 6.9 g/cm³. The formation energy from raw total energies comes out at -150 meV per atom. The density of states at the Fermi level is 5.2 states/eV/f.u.

=====

4.
An optimized crystal structure of MgFeS2N. Source: the Alexandria database, functional PBE-GGA.

CIF file:
```
data_MgFeS2N
_chemical_formula_sum 'Mg1 Fe1 S2 N1'
_cell_length_a 4.715
_cell_length_b 4.715
_cell_length_c 3.411
_cell_angle_alpha 90.00
_cell_angle_beta 90.00
_cell_angle_gamma 90.00
_symmetry_space_group_name_H-M 'P 4/m m m'
_symmetry_Int_Tables_number 123
_symmetry_space_group_name_Hall '-P 4 2'
loop_
_atom_site_label
_atom_site_type_symbol
_atom_site_fract_x
_atom_site_fract_y
_atom_site_fract_z
Mg1 Mg 0.000 0.000 0.000
Fe1 Fe 0.500 0.500 0.500
S1 S 0.000 0.500 0.500
N1 N 0.500 0.500 0.000
```

Output
The calculation puts the mass density at 3.5 g/cm³. The formation energy from raw total energies comes out at -61 meV per atom. The density of states at the Fermi level is 4.4 states/eV/f.u. For the energy relative to the lowest polymorph listed for this composition, the calculation gives 0 meV per atom.

=====

5.
An optimized crystal structure of MgFeS2N. Source: the Alexandria database, functional PBE-GGA.

CIF file:
```
data_MgFeS2N
_chemical_formula_sum 'Mg1 Fe1 S2 N1'
_cell_length_a 4.839
_cell_length_b 4.839
_cell_length_c 3.916
_cell_angle_alpha 90.00
_cell_angle_beta 90.00
_cell_angle_gamma 90.00
_symmetry_space_group_name_H-M 'P 4/m m m'
_symmetry_Int_Tables_number 123
_symmetry_space_group_name_Hall '-P 4 2'
loop_
_atom_site_label
_atom_site_type_symbol
_atom_site_fract_x
_atom_site_fract_y
_atom_site_fract_z
Mg1 Mg 0.000 0.000 0.000
Fe1 Fe 0.500 0.500 0.500
S1 S 0.000 0.500 0.000
N1 N 0.000 0.000 0.500
```

Output
The calculation puts the mass density at 2.9 g/cm³. The formation energy from raw total energies comes out at 967 meV per atom. The density of states at the Fermi level is 6.6 states/eV/f.u. For the energy relative to the lowest polymorph listed for this composition, the calculation gives 1028 meV per atom.

=====

6.
An optimized crystal structure of MgFeSN2. Source: the Alexandria database, functional PBE-GGA.

CIF file:
```
data_MgFeSN2
_chemical_formula_sum 'Mg1 Fe1 S1 N2'
_cell_length_a 3.574
_cell_length_b 3.574
_cell_length_c 5.101
_cell_angle_alpha 90.00
_cell_angle_beta 90.00
_cell_angle_gamma 90.00
_symmetry_space_group_name_H-M 'P 4/m m m'
_symmetry_Int_Tables_number 123
_symmetry_space_group_name_Hall '-P 4 2'
loop_
_atom_site_label
_atom_site_type_symbol
_atom_site_fract_x
_atom_site_fract_y
_atom_site_fract_z
Mg1 Mg 0.000 0.000 0.000
Fe1 Fe 0.500 0.500 0.500
S1 S 0.500 0.500 0.000
N1 N 0.000 0.500 0.500
```

Output
The calculation puts the mass density at 3.6 g/cm³. The formation energy from raw total energies comes out at 240 meV per atom. The density of states at the Fermi level is 3.4 states/eV/f.u.

=====

The lowest mass density belongs to which entry? number 5